# 1
{"formula": "Ag2SbAu", "functional": "PBE", "state": "relaxed", "lattice_angstrom": [[4.8534, 0.0000, 0.0000], [2.4267, 4.2032, 0.0000], [2.4267, 1.4011, 3.9628]], "species": ["Ag", "Ag", "Sb", "Au"], "fractional_positions": [[0.7500, 0.7500, 0.7500], [0.0000, 0.0000, 0.0000], [0.2500, 0.2500, 0.2500], [0.5000, 0.5000, 0.5000]], "formation_energy_uncorrected_mev_per_atom": 98.6}


# 2
{"formula": "TbPr5Ho2Th", "functional": "PBE", "state": "relaxed", "lattice_angstrom": [[-2.1029, -3.9071, -3.1642], [1.2335, -4.9683, 10.0081], [-9.8379, 3.0763, 2.7397]], "species": ["Pr", "Pr", "Pr", "Pr", "Pr", "Pr", "Pr", "Pr", "Pr", "Pr", "Th", "Th", "Ho", "Ho", "Ho", "Ho", "Tb", "Tb"], "fractional_positions": [[0.0028, 0.0056, 0.5081], [0.7219, 0.4438, 0.2009], [0.3741, 0.7483, 0.0082], [0.2781, 0.5562, 0.7009], [0.7221, 0.4442, 0.8159], [0.5001, 0.0001, 0.7581], [0.2779, 0.5558, 0.3159], [0.9972, 0.9944, 0.0081], [0.6259, 0.2517, 0.5082], [0.4999, 0.9998, 0.2581], [0.7867, 0.5735, 0.5084], [0.2133, 0.4265, 0.0083], [0.8870, 0.7741, 0.2643], [0.1129, 0.2259, 0.7643], [0.1128, 0.2256, 0.2519], [0.8872, 0.7744, 0.7519], [0.6016, 0.2031, 0.0082], [0.3984, 0.7969, 0.5082]]}


# 3
{"formula": "La2TlAg", "functional": "PBE", "state": "relaxed", "lattice_angstrom": [[6.2139, 0.0095, 0.0000], [2.6946, 5.5993, 0.0000], [-4.4542, -2.8044, 3.3027]], "species": ["Ag", "La", "La", "Tl"], "fractional_positions": [[0.7500, 0.2500, 0.5000], [0.0000, 0.0000, 0.0000], [0.2500, 0.7500, 0.5000], [0.5000, 0.5000, 0.0000]], "relative_energy_mev_per_atom": 92.4}


# 4
{"formula": "Ni5Pt", "functional": "PBE", "state": "relaxed", "lattice_angstrom": [[3.8763, 0.2004, 2.1328], [1.1123, 4.2260, 0.6120], [0.0870, 0.1002, 4.4308]], "species": ["Ni", "Ni", "Ni", "Ni", "Ni", "Pt"], "fractional_positions": [[0.5000, 0.0000, 0.5000], [0.6665, 0.5000, 0.1669], [0.8286, 0.0000, 0.8428], [0.1714, 0.0000, 0.1572], [0.3335, 0.5000, 0.8331], [0.0000, 0.5000, 0.5000]]}


# 5
{"formula": "Ca3Ge2Au", "functional": "PBE", "state": "relaxed", "lattice_angstrom": [[-4.7097, 6.0000, 4.7082], [-5.7525, -6.4408, 2.4536], [6.3122, -3.5490, 5.4827]], "species": ["Ca", "Ca", "Ca", "Ca", "Ca", "Ca", "Ca", "Ca", "Ca", "Ca", "Ca", "Ca", "Au", "Au", "Au", "Au", "Ge", "Ge", "Ge", "Ge", "Ge", "Ge", "Ge", "Ge"], "fractional_positions": [[0.4339, 0.8357, 0.6516], [0.6072, 0.4773, 0.8585], [0.2333, 0.4172, 0.4823], [0.3928, 0.5227, 0.1415], [0.1072, 0.0227, 0.3585], [0.2667, 0.9172, 0.0177], [0.0661, 0.3357, 0.8484], [0.7667, 0.5828, 0.5177], [0.7333, 0.0828, 0.9823], [0.8928, 0.9773, 0.6415], [0.9339, 0.6643, 0.1516], [0.5661, 0.1643, 0.3484], [0.9736, 0.3217, 0.1672], [0.5264, 0.8217, 0.3328], [0.4736, 0.1783, 0.6672], [0.0264, 0.6783, 0.8328], [0.2623, 0.7265, 0.3308], [0.7623, 0.7735, 0.8308], [0.7271, 0.4042, 0.2125], [0.7729, 0.9042, 0.2875], [0.7377, 0.2735, 0.6692], [0.2729, 0.5958, 0.7875], [0.2271, 0.0958, 0.7125], [0.2377, 0.2265, 0.1692]]}


# 6
{"formula": "LaThSn6", "functional": "PBE", "state": "relaxed", "lattice_angstrom": [[-2.7329, -3.5386, -1.6684], [3.8472, -2.0613, -1.9298], [1.4240, -4.9120, 8.0856]], "species": ["Th", "Sn", "Sn", "Sn", "Sn", "Sn", "Sn", "La"], "fractional_positions": [[0.0000, 0.0000, 0.5000], [0.0000, 0.5000, 0.2521], [0.5000, 0.5000, 0.5000], [0.0000, 0.5000, 0.7479], [0.5000, 0.0000, 0.7479], [0.5000, 0.0000, 0.2521], [0.5000, 0.5000, 0.0000], [0.0000, 0.0000, 0.0000]]}


# 7
{"formula": "Zn6NiAu2", "functional": "PBE", "state": "relaxed", "lattice_angstrom": [[4.1400, 0.0000, -0.2535], [0.0000, 6.4346, 0.0000], [-1.9741, -3.2173, 6.1267]], "species": ["Zn", "Zn", "Zn", "Zn", "Zn", "Zn", "Au", "Au", "Ni"], "fractional_positions": [[0.5000, 0.2082, 0.0000], [0.1655, 0.9190, 0.3155], [0.8345, 0.6035, 0.6845], [0.8345, 0.0810, 0.6845], [0.5000, 0.7918, 0.0000], [0.1655, 0.3965, 0.3155], [0.6682, 0.6610, 0.3221], [0.3318, 0.3390, 0.6779], [0.0000, 0.0000, 0.0000]], "relative_energy_mev_per_atom": 58.2}


# 8
{"formula": "ZrCu", "functional": "PBE", "state": "relaxed", "lattice_angstrom": [[-2.9499, -1.7338, 2.6281], [3.9994, -1.6145, -0.1175], [1.3050, 2.9829, 3.4326]], "species": ["Zr", "Zr", "Cu", "Cu"], "fractional_positions": [[0.6667, 0.3333, 0.7500], [0.3333, 0.6667, 0.2500], [0.0000, 0.0000, 0.0000], [0.0000, 0.0000, 0.5000]]}


no.,Fermi-level density of states (states/eV per cell),DFT total energy (eV/atom)
1,2.534,-3.177
2,25.369,-4.870
3,3.611,-4.018
4,9.245,-5.867
5,20.025,-3.602
6,4.527,-5.058
7,2.097,-2.326
8,7.287,-6.167